## PaHg3I6 (PBE-GGA)

Data for a geometry-optimized PaHg3I6 structure.

Cell lengths 8.879, 8.879, 7.971 Å; angles 90.00, 90.00, 120.00 degrees
Sites, in units of the cell vectors:
Pa: 0.000 0.000 0.000
Hg: 0.000 0.000 0.500
Hg: 0.333 0.667 0.500
Hg: 0.667 0.333 0.500
I: 0.000 0.274 0.787
I: 0.000 0.726 0.213
I: 0.274 0.000 0.787
I: 0.274 0.274 0.213
I: 0.726 0.000 0.213
I: 0.726 0.726 0.787

Summary:
**DOS(E_F)**: 5.84 states/eV per cell
**Magnetic moment**: 0.00 μB/cell
**Energy relative to the elements, uncorrected**: -5.12 eV/f.u.
**Energy above the most stable polymorph in this dataset**: 5.7 kJ/mol of atoms